Entry 1:
DFT (GGA-PBE) results for a geometry-optimized Cs2Ce3S6 structure.

Cell and atoms, written as POSCAR:
```
Cs2Ce3S6
1.0
-1.422 -7.045 1.086
-0.626 -4.499 -5.674
7.553 -3.910 0.717
Cs Ce S
2 3 6
Direct
0.167 0.667 0.500
0.833 0.333 0.500
0.000 0.000 0.000
0.334 0.332 0.000
0.666 0.668 0.000
0.392 0.664 0.823
0.728 0.000 0.823
0.056 0.336 0.823
0.272 0.000 0.177
0.608 0.336 0.177
0.944 0.664 0.177
```

Calculated values
Space group: No. 12
Raw formation energy in eV/atom: -1.8224

---

Entry 2:
DFT (GGA-PBE) results for a geometry-optimized TiBeRu2 structure.

Cell and atoms, written as POSCAR:
```
TiBeRu2
1.0
3.858 0.000 0.000
0.000 3.858 0.000
1.929 1.929 7.985
Ru Be Ti
4 2 2
Direct
0.570 0.125 0.250
0.180 0.625 0.250
0.375 0.430 0.750
0.875 0.820 0.750
0.500 0.500 0.000
0.250 0.750 0.500
0.000 0.000 0.000
0.750 0.250 0.500
```

Calculated values
Space group: No. 122
Formation energy from the elements in eV per atom: 0.190

---

Entry 3:
DFT (GGA-PBE) results for a geometry-optimized Mn2Ni2P structure.

Cell and atoms, written as POSCAR:
```
Mn2Ni2P
1.0
5.602 0.000 0.000
0.000 5.602 0.000
0.000 0.000 3.751
Ni Mn P
4 4 2
Direct
0.155 0.655 0.500
0.655 0.845 0.500
0.845 0.345 0.500
0.345 0.155 0.500
0.364 0.864 0.000
0.864 0.636 0.000
0.636 0.136 0.000
0.136 0.364 0.000
0.000 0.000 0.000
0.500 0.500 0.000
```

Calculated values
Space group: No. 127
Formation energy from the elements in eV per atom: 0.009
Offset from the most stable computed form in kJ per mole of atoms: 0.0

---

Entry 4:
DFT (GGA-PBE) results for a geometry-optimized CaTe2Ru structure.

Cell and atoms, written as POSCAR:
```
CaTe2Ru
1.0
2.592 0.000 8.737
-1.296 2.244 8.737
-1.296 -2.244 8.737
Ru Ca Te
1 1 2
Direct
0.000 0.000 0.000
0.500 0.500 0.500
0.902 0.902 0.902
0.098 0.098 0.098
```

Calculated values
Space group: No. 166
Offset from the most stable computed form in kJ per mole of atoms: 87.1
Raw formation energy in eV/atom: 0.1910

---

Entry 5:
DFT (GGA-PBE) results for a geometry-optimized Tm4Te4Pb structure.

Cell and atoms, written as POSCAR:
```
Tm4Te4Pb
1.0
-3.580 0.167 2.399
0.788 -5.227 5.417
2.848 4.990 7.778
Tm Te Pb
4 4 1
Direct
0.301 0.095 0.302
0.699 0.905 0.698
0.904 0.294 0.899
0.096 0.706 0.101
0.698 0.404 0.201
0.897 0.803 0.402
0.302 0.596 0.799
0.103 0.197 0.598
0.500 0.000 0.000
```

Calculated values
Space group: No. 12
Raw formation energy in eV/atom: -1.1538

---

Entry 6:
DFT (GGA-PBE) results for a geometry-optimized BaSi2Ru structure.

Cell and atoms, written as POSCAR:
```
BaSi2Ru
1.0
3.265 0.000 0.000
0.000 3.265 0.000
0.000 0.000 7.487
Ba Ru Si
1 1 2
Direct
0.000 0.000 0.499
0.500 0.500 0.852
0.000 0.000 0.976
0.500 0.500 0.172
```

Calculated values
Space group: No. 99
Raw formation energy in eV/atom: -0.0552

---

Entry 7:
DFT (GGA-PBE) results for a geometry-optimized Ti2TlRe structure.

Cell and atoms, written as POSCAR:
```
Ti2TlRe
1.0
3.358 0.000 0.000
0.000 4.513 0.000
0.000 0.000 4.513
Re Tl Ti
1 1 2
Direct
0.500 0.000 0.000
0.500 0.500 0.500
0.000 0.000 0.500
0.000 0.500 0.000
```

Calculated values
Space group: No. 123
Formation energy from the elements in eV per atom: -0.009
Offset from the most stable computed form in kJ per mole of atoms: 16.9

---

Entry 8:
DFT (GGA-PBE) results for a geometry-optimized Mn2TcP structure.

Cell and atoms, written as POSCAR:
```
Mn2TcP
1.0
-2.943 -2.705 2.214
2.082 -3.034 2.709
0.350 4.523 -0.548
Mn P Tc
2 1 1
Direct
0.000 0.000 0.000
0.500 0.500 0.000
0.250 0.750 0.500
0.750 0.250 0.500
```

Calculated values
Space group: No. 139
Formation energy from the elements in eV per atom: -0.096
Offset from the most stable computed form in kJ per mole of atoms: 15.4

---

Entry 9:
DFT (GGA-PBE) results for a geometry-optimized Cd2InPt2 structure.

Cell and atoms, written as POSCAR:
```
Cd2InPt2
1.0
4.019 0.000 1.802
1.380 4.623 2.305
0.017 -0.077 5.347
Cd In Pt
2 1 2
Direct
0.809 0.691 0.691
0.191 0.309 0.309
0.000 0.000 0.000
0.500 0.732 0.268
0.500 0.268 0.732
```

Calculated values
Space group: No. 71
Formation energy from the elements in eV per atom: -0.339
Offset from the most stable computed form in kJ per mole of atoms: 0.0

---

Entry 10:
DFT (GGA-PBE) results for a geometry-optimized KLa2Tl structure.

Cell and atoms, written as POSCAR:
```
KLa2Tl
1.0
6.231 0.004 0.001
5.116 3.557 0.001
0.952 0.299 6.604
K La Tl
1 2 1
Direct
0.750 0.750 0.750
0.984 0.984 0.049
0.516 0.516 0.451
0.250 0.250 0.250
```

Calculated values
Space group: No. 12
Formation energy from the elements in eV per atom: 0.047
Offset from the most stable computed form in kJ per mole of atoms: 6.1

---

Entry 11:
DFT (GGA-PBE) results for a geometry-optimized La2ZrZn structure.

Cell and atoms, written as POSCAR:
```
La2ZrZn
1.0
5.267 0.000 0.000
2.634 4.562 0.000
2.634 1.521 4.301
La Zn Zr
2 1 1
Direct
0.000 0.000 0.000
0.250 0.250 0.250
0.500 0.500 0.500
0.750 0.750 0.750
```

Calculated values
Space group: No. 216
Formation energy from the elements in eV per atom: 0.157

---

Entry 12:
DFT (GGA-PBE) results for a geometry-optimized PtCl4 structure.

Cell and atoms, written as POSCAR:
```
PtCl4
1.0
-2.122 4.331 -0.497
-1.444 -1.220 -4.465
-4.114 -1.806 1.824
Pt Cl
1 4
Direct
0.500 0.500 0.500
0.000 0.000 0.000
0.500 0.000 0.500
0.000 0.500 0.500
0.500 0.500 0.000
```

Calculated values
Space group: No. 221
Raw formation energy in eV/atom: 0.1584

---

no.,V (Å³/f.u.),total magnetic moment (μB per formula unit)
1,374.5,2.0
2,59.4,0.0
3,58.9,0.0
4,152.5,3.7
5,289.0,0.0
6,79.8,0.0
7,68.4,0.0
8,48.7,3.6
9,99.7,0.0
10,146.2,0.0
11,103.3,1.1
12,114.0,1.2